## CrBi2F8 (GGA+U)

Data for a relaxed CrBi2F8 crystal.

Computed properties:
E_tot, eV per atom: -5.158

Geometry as POSCAR:
```
CrBi2F8
1.0
-2.2438 1.2287 3.2674
-3.5370 -3.9251 -0.9530
6.1166 -2.5976 2.5422
F Cr Bi
8 1 2
Direct
0.3560 0.0620 0.7119 F
0.5955 0.4125 0.1910 F
0.9955 0.2551 0.9910 F
0.7892 0.7024 0.5784 F
0.2108 0.2976 0.4216 F
0.6440 0.9380 0.2881 F
0.4045 0.5875 0.8090 F
0.0045 0.7449 0.0090 F
0.5000 0.0000 0.0000 Cr
0.1567 0.6425 0.3133 Bi
0.8433 0.3575 0.6867 Bi
```